The following is a PBE-GGA calculation of crystalline TlAu2Cl at its relaxed geometry, from the Alexandria database.

Output
* E above lowest polymorph: 0.96 eV/f.u.
* spin magnetization: 0.000 μB/cell
* formation energy without anion corrections: 0.05 eV/atom
* calculated volume: 23.105 Å³ per atom
* space-group type: R-3m (166)

Cell lengths 7.886, 7.886, 7.886 Å; angles 27.52, 27.52, 27.52 degrees
Fractional positions:
1 Tl 0.750 0.750 0.750
2 Au 0.000 0.000 0.000
3 Au 0.500 0.500 0.500
4 Cl 0.250 0.250 0.250